Compound: MgCo2O4
Source: Alexandria
Functional: GGA+U
Structure: optimized geometry

a b c (Å): 5.013 5.013 9.409
angles (deg): 90.00 90.00 146.38
Site moments in Bohr magnetons follow the coordinates.
Element x y z (fractional)
Mg  0.610  0.390  0.250  0.01
Mg  0.390  0.610  0.750  0.01
Co  0.134  0.866  0.571  2.08
Co  0.866  0.134  0.429  2.08
Co  0.134  0.866  0.929  2.08
Co  0.866  0.134  0.071  2.08
O  0.779  0.221  0.886  -0.03
O  0.221  0.779  0.114  -0.03
O  0.221  0.779  0.386  -0.03
O  0.779  0.221  0.614  -0.03
O  0.045  0.955  0.750  -0.03
O  0.955  0.045  0.250  -0.03
O  0.500  0.500  0.500  -0.11
O  0.500  0.500  0.000  -0.11

Calculated values
Its polymorph energy (0 for the lowest one) is 0.156 eV/atom. The density of states at the Fermi level comes out at 0.141 states/eV per atom. As for the volume: 9.35 Å³/atom. The raw total energy comes out at -41.1 eV per formula unit.